Pr2Tm5Sc2 | PBE-GGA | relaxed

Results
**D(E_F)**: 1.5676 states/eV per atom
**Polymorph energy (0 for the lowest one)**: 144 meV per atom
**E_form**: 0.1894 eV/atom
**Final energy**: -4.76 eV per atom

abc: 12.543 5.883 10.260
angles: 106.66 127.68 90.00
Fractional positions:
Sc 0.804 0.310 0.708
Tm 0.550 0.332 0.715
Pr 0.000 0.853 0.000
Tm 0.665 0.832 0.715
Tm 0.861 0.355 0.083
Sc 0.405 0.810 0.708
Tm 0.335 0.117 0.285
Tm 0.935 0.266 0.500
Sc 0.196 0.602 0.292
Sc 0.595 0.102 0.292
Pr 0.500 0.353 0.000
Tm 0.723 0.855 0.083
Tm 0.450 0.617 0.285
Pr 0.796 0.730 0.500
Pr 0.204 0.230 0.500
Tm 0.065 0.766 0.500
Tm 0.277 0.772 0.917
Tm 0.139 0.272 0.917